Record 1
The following is a DFT calculation (PBE) of a relaxed structure of Lu4Bi2B.

```
Lu4Bi2B
1.0
-2.4253 2.4253 7.8690
2.4253 -2.4253 7.8690
2.4253 2.4253 -7.8690
Lu Bi B
4 2 1
direct
0.0000 0.5000 0.5000 Lu
0.1556 0.1556 0.0000 Lu
0.5000 0.0000 0.5000 Lu
0.8444 0.8444 0.0000 Lu
0.3561 0.3561 0.0000 Bi
0.6439 0.6439 0.0000 Bi
0.0000 0.0000 0.0000 B
```

Total magnetic moment ... 0.000 μB/f.u.
Final energy ... -5.20 eV/atom
Fermi-level density of states ... 3.48 states/eV per cell
SG ... No. 139

Record 2
The following is a DFT calculation (PBE) of a relaxed structure of MgBiB3.

```
MgBiB3
1.0
4.4001 0.0000 0.0000
0.0000 4.4001 0.0000
0.0000 0.0000 4.4001
Mg Bi B
1 1 3
direct
0.0000 0.0000 0.0000 Mg
0.5000 0.5000 0.5000 Bi
0.0000 0.0000 0.5000 B
0.0000 0.5000 0.0000 B
0.5000 0.0000 0.0000 B
```

Total magnetic moment ... 0.000 μB/f.u.
Final energy ... -3.08 eV/atom
Fermi-level density of states ... 1.84 states/eV per cell
E above lowest polymorph ... 0.00 eV/f.u.
SG ... No. 221

Record 3
The following is a DFT calculation (PBE) of a relaxed structure of MgBiB2.

```
MgBiB2
1.0
-2.9198 2.9198 4.8190
2.9198 -2.9198 4.8190
2.9198 2.9198 -4.8190
Mg Bi B
2 2 4
direct
0.0000 0.0000 0.0000 Mg
0.7500 0.2500 0.5000 Mg
0.2500 0.7500 0.5000 Bi
0.5000 0.5000 0.0000 Bi
0.1298 0.6250 0.0048 B
0.3750 0.3798 0.5048 B
0.6202 0.1250 0.9952 B
0.8750 0.8702 0.4952 B
```

Total magnetic moment ... 0.000 μB/f.u.
Final energy ... -3.47 eV/atom
Fermi-level density of states ... 4.73 states/eV per cell
E above lowest polymorph ... 0.00 eV/f.u.
SG ... No. 122

Record 4
The following is a DFT calculation (PBE) of a relaxed structure of MgBi2B.

```
MgBi2B
1.0
-3.2315 3.2315 5.3806
3.2315 -3.2315 5.3806
3.2315 3.2315 -5.3806
Mg Bi B
2 4 2
direct
0.0000 0.0000 0.0000 Mg
0.7500 0.2500 0.5000 Mg
0.1916 0.6250 0.0666 Bi
0.3750 0.4416 0.5666 Bi
0.5584 0.1250 0.9334 Bi
0.8750 0.8084 0.4334 Bi
0.2500 0.7500 0.5000 B
0.5000 0.5000 0.0000 B
```

Total magnetic moment ... 0.000 μB/f.u.
Final energy ... -3.50 eV/atom
Fermi-level density of states ... 6.73 states/eV per cell
E above lowest polymorph ... 0.00 eV/f.u.
SG ... No. 122